Here is a crystal of Ti2ReNi relaxed with PBEsol from the Alexandria database. Energies are from SCAN.

Cell lengths 4.2867, 4.2867, 4.2867 Å; angles 60.00, 60.00, 60.00 degrees
Closest atoms and distances in Å follow each position.
Fractional coordinates of all 4 atoms:
Re (0.0000, 0.0000, 0.0000)  8 Ti 2.63
Ni (0.5000, 0.5000, 0.5000)  8 Ti 2.63
Ti (0.7500, 0.7500, 0.7500)  4 Re 2.63, 4 Ni 2.63
Ti (0.2500, 0.2500, 0.2500)  4 Re 2.63, 4 Ni 2.63

Properties
As for the space group: Fm-3m, No. 225. The value obtained for the total moment is 0.56 Bohr magnetons per cell. For the energy of formation, the calculation gives -527 meV per atom.

---

Here is a crystal of TlRe3Ni relaxed with PBEsol from the Alexandria database. Energies are from SCAN.

Cell lengths 4.4396, 4.4396, 4.4396 Å; angles 90.00, 90.00, 90.00 degrees
Closest atoms and distances in Å follow each position.
Fractional coordinates of all 5 atoms:
Re (0.0000, 0.5000, 0.0000)  2 Ni 2.22
Re (0.0000, 0.0000, 0.5000)  2 Ni 2.22
Re (0.5000, 0.0000, 0.0000)  2 Ni 2.22
Tl (0.5000, 0.5000, 0.5000)  12 Re 3.14
Ni (0.0000, 0.0000, 0.0000)  6 Re 2.22

Properties
As for the space group: Pm-3m, No. 221. The value obtained for the total moment is 0.00 Bohr magnetons per cell. For the energy of formation, the calculation gives 1981 meV per atom.

---

Q: Which of these has the highest energy of formation?
A: TlRe3Ni